{
  "formula": "ZrSi3B",
  "functional": "SCAN",
  "state": "single point on PBEsol structure",
  "dft_energy_ev_per_atom": -13.081,
  "space_group": "Pm-3m",
  "density_g_cm3": 4.25,
  "formation_energy_uncorrected_ev_per_fu": 2.77,
  "lattice": [[-2.559, 3.297, -0.114], [-2.293, -1.882, -2.938], [-2.371, -1.738, 2.964]],
  "species": ["Si", "Si", "B", "Zr", "Si"],
  "frac_coords": [[0.000, 0.000, 0.500], [0.000, 0.500, 0.000], [0.000, 0.000, 0.000], [0.500, 0.500, 0.500], [0.500, 0.000, 0.000]]
}